The following is a DFT calculation (GGA-PBE) of a relaxed structure of Na2SmNiH8.

Calculated values
Its crystal system is trigonal. As for the size of the total moment: 0.0 Bohr magnetons per cell. The value obtained for the raw total energy is -3.54 eV per atom.

a b c (Å): 4.663 4.663 6.177
angles (deg): 90.00 90.00 120.00
Fractional positions:
Na 0.333 0.667 0.365
Na 0.667 0.333 0.635
Sm 0.000 0.000 0.000
Ni 0.000 0.000 0.500
H 0.149 0.298 0.661
H 0.149 0.851 0.661
H 0.298 0.149 0.339
H 0.333 0.667 0.013
H 0.667 0.333 0.987
H 0.702 0.851 0.661
H 0.851 0.149 0.339
H 0.851 0.702 0.339